The following is a DFT calculation (PBE) of a geometry-optimized Al2PtAu structure.

abc: 3.021 4.744 4.465
angles: 90.00 90.00 90.00
Space group Pmm2 (No. 25)
Unique sites:
Al 0.000 0.000 0.000 x1
Al 0.500 0.500 0.231 x1
Pt 0.500 0.000 0.472 x1
Au 0.000 0.500 0.747 x1

Output
* total magnetic moment: 0.000 μB/atom
* DOS at the Fermi energy: 1.6 states/eV/cell
* energy of formation from the pure elements: -0.6127 eV per atom
* relative energy among the computed polymorphs: 0.085 eV per atom